1.
Computed, not measured: a relaxed structure of BAuBr3 at the PBE level of DFT.

Lattice parameters (Å, degrees): 4.753 4.753 4.753 90.00 90.00 90.00
Element x y z (fractional)
B1 0.000 0.000 0.000
Au1 0.500 0.500 0.500
Br1 0.000 0.000 0.500
Br2 0.000 0.500 0.000
Br3 0.500 0.000 0.000

Summary:
- V: 107.34 Å³ per cell
- Formation energy from raw total energies: 694 meV per atom
- Offset from the most stable computed form: 0.000 eV per atom

=====

2.
Computed, not measured: a relaxed structure of Tl2V3Se6 at the PBE level of DFT.

Lattice parameters (Å, degrees): 6.302 6.302 8.161 98.30 98.30 119.52
Element x y z (fractional)
Tl1 0.158 0.842 0.000
Tl2 0.842 0.158 0.000
V1 0.000 0.000 0.500
V2 0.311 0.689 0.500
V3 0.689 0.311 0.500
Se1 0.083 0.406 0.693
Se2 0.279 0.279 0.331
Se3 0.406 0.083 0.693
Se4 0.594 0.917 0.307
Se5 0.721 0.721 0.669
Se6 0.917 0.594 0.307

Summary:
- V: 270.19 Å³ per cell
- Formation energy from raw total energies: -606 meV per atom

=====

3.
Computed, not measured: a relaxed structure of YPuNbN3 at the PBE level of DFT.

Lattice parameters (Å, degrees): 5.779 3.340 8.607 90.00 102.68 90.00
Element x y z (fractional)
Y1 0.145 0.250 0.184
Y2 0.855 0.750 0.816
Pu1 0.266 0.750 0.549
Pu2 0.734 0.250 0.451
Nb1 0.374 0.250 0.872
Nb2 0.626 0.750 0.128
N1 0.057 0.250 0.676
N2 0.247 0.750 0.993
N3 0.456 0.750 0.335
N4 0.544 0.250 0.665
N5 0.753 0.250 0.007
N6 0.943 0.750 0.324

Summary:
- V: 162.04 Å³ per cell
- Formation energy from raw total energies: -1296 meV per atom

=====

4.
Computed, not measured: a relaxed structure of SrRuAu3 at the PBE level of DFT.

Lattice parameters (Å, degrees): 5.099 5.099 5.099 90.00 90.00 90.00
Element x y z (fractional)
Sr1 0.000 0.000 0.000
Ru1 0.500 0.500 0.500
Au1 0.000 0.500 0.500
Au2 0.500 0.000 0.500
Au3 0.500 0.500 0.000

Summary:
- V: 132.57 Å³ per cell
- Energy relative to the elements: 0.1344 eV per atom
- Offset from the most stable computed form: 0.000 eV per atom

=====

| no. | size of the total moment (μB/cell) | theoretical density (g/cm3) | density of states at the Fermi level (states/eV/f.u.) |
| --- | --- | --- | --- |
| 1 | 0.00 | 6.9 | 1.51 |
| 2 | 5.00 | 6.4 | 7.04 |
| 3 | 8.99 | 9.6 | 6.23 |
| 4 | 1.66 | 9.8 | 3.90 |